## P
## K3SO4F (SCAN)

Data for a crystal of K3SO4F relaxed with PBEsol.

Geometry as extended XYZ:
```
18
Lattice="-2.1373 4.9953 -4.7382 -1.1112 -7.1923 -1.5971 -6.7067 -2.6323 0.2501" Properties=species:S:1:pos:R:3 pbc="T T T"
K -5.0304 -0.8681 -0.7260
K -3.8352 -0.5078 -4.2897
K -1.9351 1.0512 -1.4232
K -3.8135 3.2310 -3.7621
K -6.9088 1.3117 -3.0649
K -6.1199 -4.3216 -1.7955
S -7.1886 -1.8239 -4.1646
S -2.7666 -3.0054 -1.9206
O -3.4963 -3.3684 -0.6737
O -3.6271 -3.2666 -3.1081
O -8.4251 -1.0025 -4.0413
O -1.5301 -3.8269 -2.0439
O -2.4129 -1.5599 -1.8565
O -6.3281 -1.5628 -2.9771
O -7.5423 -3.2695 -4.2287
O -6.4588 -1.4609 -5.4115
F -4.4220 1.1815 -2.2440
F 0.0000 0.0000 0.0000
```

Summary:
Space-group type   I4/mcm
Crystal system   tetragonal
Magnetic moment   0.00 μB/f.u.

## Q
## K3SO4F (SCAN)

Data for a crystal of K3SO4F relaxed with PBEsol.

Geometry as extended XYZ:
```
9
Lattice="5.3750 0.0000 0.0000 0.0000 5.3750 0.0000 0.0000 0.0000 5.3750" Properties=species:S:1:pos:R:3 pbc="T T T"
K 2.6875 0.0000 0.0000
K 0.0000 0.0000 2.6875
K 0.0000 2.6875 0.0000
S 2.6875 2.6875 2.6875
O 1.8272 1.8272 3.5478
O 1.8272 3.5478 1.8272
O 3.5478 1.8272 1.8272
O 3.5478 3.5478 3.5478
F 0.0000 0.0000 0.0000
```

Summary:
Space-group type   P-43m
Crystal system   cubic
Magnetic moment   0.17 μB/f.u.

Which of them is the most stable? Correct choice: P.

## P
## KRu3F (SCAN)

Data for a crystal of KRu3F relaxed with PBEsol.

Geometry as extended XYZ:
```
5
Lattice="4.6463 0.0000 0.0000 0.0000 4.6463 0.0000 0.0000 0.0000 4.6463" Properties=species:S:1:pos:R:3 pbc="T T T"
Ru 0.0000 2.3231 0.0000
Ru 0.0000 0.0000 2.3231
Ru 2.3231 0.0000 0.0000
K 0.0000 0.0000 0.0000
F 2.3231 2.3231 2.3231
```

Summary:
Space-group type   Pm-3m
Crystal system   cubic
Magnetic moment   6.94 μB/f.u.

## Q
## KRu3F (SCAN)

Data for a crystal of KRu3F relaxed with PBEsol.

Geometry as extended XYZ:
```
5
Lattice="-0.0020 0.2310 4.4289 -2.5448 -3.6273 0.1880 3.6321 -2.5412 0.1342" Properties=species:S:1:pos:R:3 pbc="T T T"
Ru -1.2724 -1.8136 0.0940
Ru 1.8161 -1.2706 0.0671
Ru -0.0010 0.1155 2.2144
K 0.5427 -2.9688 2.3756
F 0.0000 0.0000 0.0000
```

Summary:
Space-group type   Pm-3m
Crystal system   cubic
Magnetic moment   7.29 μB/f.u.

Which of them is the most stable? Correct choice: Q.

## P
## K2TaF7 (SCAN)

Data for a crystal of K2TaF7 relaxed with PBEsol.

Geometry as extended XYZ:
```
40
Lattice="5.8133 -0.0002 0.0000 -0.0449 8.4694 0.0000 0.0000 0.0000 12.6566" Properties=species:S:1:pos:R:3 pbc="T T T"
K 1.3708 0.4601 9.8988
K 4.4201 3.7744 3.5705
K 4.3976 8.0091 2.7577
K 1.3484 4.6948 9.0860
K 4.4135 2.6980 11.8977
K 1.3774 1.5365 5.5694
K 1.3550 5.7712 0.7589
K 4.3910 6.9327 7.0872
Ta 4.2287 2.3586 7.9478
Ta 1.5621 1.8759 1.6195
Ta 1.5397 6.1106 4.7088
Ta 4.2063 6.5933 11.0371
F 2.5398 3.1492 7.2986
F 3.2511 1.0853 0.9703
F 3.2287 5.3200 5.3580
F 2.5173 7.3839 11.6863
F 4.7580 4.2217 7.8533
F 1.0328 0.0129 1.5251
F 1.0104 4.2476 4.8032
F 4.7356 8.4564 11.1315
F 4.5548 2.4162 6.0217
F 1.2361 1.8183 12.3500
F 1.2137 6.0530 6.6348
F 4.5323 6.6509 0.3066
F 5.5078 6.7677 9.5475
F 0.2382 5.9363 3.2192
F 0.2607 1.7016 3.1090
F 5.5302 2.5329 9.4373
F 3.0890 6.7196 9.4110
F 2.6570 5.9843 3.0827
F 2.6795 1.7496 3.2456
F 3.1114 2.4849 9.5739
F 5.5654 5.1859 11.3196
F 0.1806 7.5181 4.9913
F 0.2031 3.2834 1.3370
F 5.5878 0.9511 7.6652
F 3.0998 4.9815 11.2560
F 2.6462 7.7224 4.9277
F 2.6686 3.4877 1.4006
F 3.1223 0.7468 7.7289
```

Summary:
Space-group type   P2_1/c
Crystal system   monoclinic
Magnetic moment   0.10 μB/f.u.

## Q
## K2TaF7 (SCAN)

Data for a crystal of K2TaF7 relaxed with PBEsol.

Geometry as extended XYZ:
```
40
Lattice="-4.3123 -3.7440 0.6958 5.4818 -7.1262 -4.3715 4.1713 -2.9412 10.0253" Properties=species:S:1:pos:R:3 pbc="T T T"
K 2.8522 -4.9467 2.9510
K 3.9852 -7.3760 -3.0992
K 2.4886 -8.8647 3.3987
K 1.3556 -6.4353 9.4488
K -1.7249 -3.9465 3.7494
K 0.3329 -7.0280 -0.0780
K 7.0657 -9.8648 2.6003
K 5.0079 -6.7834 6.4277
Ta 0.7197 -6.4224 5.5774
Ta 4.5885 -10.7808 6.1026
Ta 4.6211 -7.3889 0.7723
Ta 0.7522 -3.0305 0.2470
F 0.7185 -4.5875 4.8762
F 3.4908 -11.1872 7.6801
F 6.5383 -7.5604 1.1643
F -0.0660 -4.2877 -1.0213
F 4.6223 -9.2239 1.4735
F 1.8500 -2.6242 -1.3305
F -1.1975 -6.2510 5.1854
F 5.4068 -9.5237 7.3710
F 2.6197 -6.7221 5.1734
F 4.2591 -12.5229 5.2541
F 4.6370 -5.4258 0.8671
F -0.8342 -2.9520 1.4047
F 2.7210 -7.0893 1.1763
F 1.0817 -1.2885 1.0956
F 0.7038 -8.3856 5.4826
F 6.1750 -10.8594 4.9450
F 1.6516 -5.4156 6.9767
F 2.7590 -10.6206 5.4192
F 5.4649 -6.8541 -0.9135
F 0.8062 -4.7324 1.2170
F 3.6892 -8.3957 -0.6270
F 2.5818 -3.1907 0.9305
F -0.1241 -6.9573 7.2632
F 4.5346 -9.0790 5.1327
F 0.6979 -6.7598 3.6269
F 1.6250 -9.0440 -2.9180
F 4.6429 -7.0515 2.7227
F 3.7158 -4.7673 9.2677
```

Summary:
Space-group type   Pnma
Crystal system   orthorhombic
Magnetic moment   0.12 μB/f.u.

Which of them is the most stable? Correct choice: P.